Record 1
A plane-wave DFT calculation with PBE was carried out for a geometry-optimized Hf2TcGe structure.

a = 4.5360 Å, b = 4.5360 Å, c = 3.4797 Å
α = 90.00°, β = 90.00°, γ = 90.00°
Atoms (fractional coordinates):
Hf (0.0000, 0.5000, 0.0000)
Hf (0.5000, 0.0000, 0.0000)
Tc (0.0000, 0.0000, 0.5000)
Ge (0.5000, 0.5000, 0.5000)

Calculated total energy, eV per cell: -36.650
Symmetry: P4/mmm (123)


Record 2
A plane-wave DFT calculation with PBE was carried out for a geometry-optimized HfTcGe2 structure.

a = 3.1314 Å, b = 3.1314 Å, c = 6.6877 Å
α = 90.00°, β = 90.00°, γ = 90.00°
Atoms (fractional coordinates):
Hf (0.0000, 0.0000, 0.0000)
Tc (0.0000, 0.0000, 0.5000)
Ge (0.5000, 0.5000, 0.2849)
Ge (0.5000, 0.5000, 0.7151)

Calculated total energy, eV per cell: -30.674
Symmetry: P4/mmm (123)
Distance to the lowest polymorph of the same formula, meV/atom: 0


no.,N(E_F) (states/eV/atom)
1,0.729
2,0.609